The following is a DFT calculation (GGA-PBE) of a geometry-optimized CaHgRu structure.

Calculated values
- DFT total energy: -10.31 eV/cell
- DOS at the Fermi energy: 1.19 states/eV/atom
- E above lowest polymorph: 0.232 eV per atom
- Formation energy: 0.42 eV per atom

Lattice parameters (Å, degrees): 3.2504 3.2504 7.0196 90.00 90.00 120.00
With the nearest neighbours (Å) after each atom.
Space group P3m1 (No. 156)
Asymmetric unit:
Ca 0.0000 0.0000 0.0000 x1  3 Ru 2.88
Hg 0.6667 0.3333 0.3744 x1  3 Ru 2.90, 3 Ca 3.23
Ru 0.3333 0.6667 0.6885 x1  3 Ca 2.88, 3 Hg 2.90


The following is a DFT calculation (GGA-PBE) of a geometry-optimized CaHg2Ru structure.

Calculated values
- DFT total energy: -11.48 eV/cell
- DOS at the Fermi energy: 0.75 states/eV/atom
- E above lowest polymorph: 0.012 eV per atom
- Formation energy: 0.10 eV per atom

Lattice parameters (Å, degrees): 3.6048 3.6048 6.4723 90.00 90.00 90.00
With the nearest neighbours (Å) after each atom.
Space group P4/mmm (No. 123)
Asymmetric unit:
Ca 0.0000 0.0000 0.0000 x1  8 Hg 3.12, 2 Ru 3.24
Hg 0.5000 0.5000 0.2779 x2  1 Hg 2.88, 4 Ru 2.93, 4 Ca 3.12
Ru 0.0000 0.0000 0.5000 x1  8 Hg 2.93, 2 Ca 3.24


The following is a DFT calculation (GGA-PBE) of a geometry-optimized Ca2HgRu structure.

Calculated values
- DFT total energy: -46.13 eV/cell
- DOS at the Fermi energy: 0.86 states/eV/atom
- Formation energy: 0.51 eV per atom

Lattice parameters (Å, degrees): 4.4851 4.4851 19.8437 90.00 90.00 90.00
With the nearest neighbours (Å) after each atom.
Space group I-42d (No. 122)
Asymmetric unit:
Ca 0.2324 0.2500 0.1250 x8  2 Ru 2.91, 2 Hg 2.97, 2 Ca 3.06
Hg 0.0000 0.0000 0.5000 x4  4 Ca 2.97, 4 Ru 3.17
Ru 0.0000 0.0000 0.0000 x4  4 Ca 2.91, 4 Hg 3.17


The following is a DFT calculation (GGA-PBE) of a geometry-optimized CaHgRu2 structure.

Calculated values
- DFT total energy: -37.77 eV/cell
- DOS at the Fermi energy: 1.07 states/eV/atom
- Formation energy: 0.49 eV per atom

Lattice parameters (Å, degrees): 4.0935 4.1199 8.9043 90.00 90.00 90.00
With the nearest neighbours (Å) after each atom.
Space group Immm (No. 71)
Asymmetric unit:
Ca 0.0000 0.0000 0.0000 x2  4 Hg 2.90, 8 Ru 3.03
Hg 0.0000 0.0000 0.5000 x2  4 Ca 2.90, 8 Ru 3.02-3.03
Ru 0.0000 0.5000 0.2498 x4  4 Ru 2.90, 4 Hg 3.02-3.03, 4 Ca 3.03


The following is a DFT calculation (GGA-PBE) of a geometry-optimized CaHg2Ru structure.

Calculated values
- DFT total energy: -42.04 eV/cell
- DOS at the Fermi energy: 0.80 states/eV/atom
- E above lowest polymorph: 0.255 eV per atom
- Formation energy: 0.34 eV per atom

Lattice parameters (Å, degrees): 4.4135 4.4135 19.8805 90.00 90.00 90.00
With the nearest neighbours (Å) after each atom.
Space group I-42d (No. 122)
Asymmetric unit:
Ca 0.0000 0.0000 0.0000 x4  4 Hg 3.02, 4 Ru 3.12
Hg 0.2042 0.2500 0.6250 x8  2 Hg 2.85, 2 Ru 2.86, 2 Ca 3.02
Ru 0.0000 0.0000 0.5000 x4  4 Hg 2.86, 4 Ca 3.12


The following is a DFT calculation (GGA-PBE) of a geometry-optimized CaHg2Ru structure.

Calculated values
- DFT total energy: -22.69 eV/cell
- DOS at the Fermi energy: 0.78 states/eV/atom
- E above lowest polymorph: 0.046 eV per atom
- Formation energy: 0.13 eV per atom

Lattice parameters (Å, degrees): 4.0690 4.4570 9.1765 90.00 90.00 90.00
With the nearest neighbours (Å) after each atom.
Space group Imm2 (No. 44)
Asymmetric unit:
Ca 0.0000 0.0000 0.0000 x2  8 Hg 3.02-3.14, 4 Ru 3.08-3.18
Hg 0.0000 0.0000 0.5132 x2  4 Ru 2.96-3.30, 4 Ca 3.02, 4 Hg 3.10-3.17
Hg 0.0000 0.5000 0.7590 x2  4 Ru 3.02, 4 Hg 3.10-3.17, 4 Ca 3.13-3.14
Ru 0.0000 0.5000 0.2479 x2  8 Hg 2.96-3.30, 4 Ca 3.08-3.18


The following is a DFT calculation (GGA-PBE) of a geometry-optimized CaHg2Ru structure.

Calculated values
- DFT total energy: -11.30 eV/cell
- DOS at the Fermi energy: 0.53 states/eV/atom
- E above lowest polymorph: 0.057 eV per atom
- Formation energy: 0.15 eV per atom

Lattice parameters (Å, degrees): 3.7004 3.7004 6.2787 90.00 90.00 90.00
With the nearest neighbours (Å) after each atom.
Space group P4mm (No. 99)
Asymmetric unit:
Ca 0.0000 0.0000 0.0000 x1  5 Hg 2.88-3.14, 4 Ru 3.10
Hg 0.0000 0.0000 0.5416 x1  1 Ca 2.88, 4 Ru 2.89, 4 Hg 3.10
Hg 0.5000 0.5000 0.2770 x1  1 Ru 2.88, 4 Hg 3.10, 4 Ca 3.14
Ru 0.5000 0.5000 0.7356 x1  5 Hg 2.88-2.89, 4 Ca 3.10


The following is a DFT calculation (GGA-PBE) of a geometry-optimized Ca2HgRu structure.

Calculated values
- DFT total energy: -52.10 eV/cell
- DOS at the Fermi energy: 0.57 states/eV/atom
- Formation energy: 0.14 eV per atom

Lattice parameters (Å, degrees): 7.0858 7.0858 7.0858 90.00 90.00 90.00
With the nearest neighbours (Å) after each atom.
Space group F-43m (No. 216)
Asymmetric unit:
Ca 0.0000 0.0000 0.0000 x4  4 Ca 3.07, 4 Ru 3.07
Ca 0.2500 0.2500 0.2500 x4  4 Hg 3.07, 4 Ca 3.07
Hg 0.0000 0.0000 0.5000 x4  4 Ru 3.07, 4 Ca 3.07
Ru 0.2500 0.2500 0.7500 x4  4 Ca 3.07, 4 Hg 3.07


no.,mass density (g cm⁻³)
1,8.84
2,10.71
3,6.35
4,9.79
5,9.30
6,10.82
7,10.47
8,7.13